Compound: LaSi3F
Source: Alexandria via LeMat-Bulk
Functional: PBE-GGA
Structure: relaxed

a b c (Å): 4.554 4.554 4.554
angles (deg): 90.00 90.00 90.00
Fractional positions:
1 Si 0.000 0.500 0.000
2 Si 0.000 0.000 0.500
3 Si 0.500 0.000 0.000
4 F 0.000 0.000 0.000
5 La 0.500 0.500 0.500

## Properties
- relative energy among the computed polymorphs (meV/atom) = 0
- uncorrected formation energy (eV per atom) = -0.33
- crystal system = cubic

=====

Compound: Nd2Dy2TmSc
Source: Alexandria via LeMat-Bulk
Functional: PBE-GGA
Structure: relaxed

a b c (Å): 5.588 6.873 9.689
angles (deg): 90.00 90.00 90.00
Fractional positions:
1 Nd 0.500 0.008 0.000
2 Nd 0.000 0.258 0.185
3 Nd 0.500 0.508 0.000
4 Nd 0.000 0.758 0.815
5 Dy 0.000 0.258 0.834
6 Dy 0.500 0.258 0.334
7 Dy 0.000 0.758 0.166
8 Dy 0.500 0.758 0.666
9 Tm 0.500 0.258 0.654
10 Tm 0.500 0.758 0.346
11 Sc 0.000 0.007 0.500
12 Sc 0.000 0.507 0.500

## Properties
- crystal system = orthorhombic
- formation energy (meV/atom) = 98

=====

Compound: LaTa2Mn
Source: Alexandria via LeMat-Bulk
Functional: PBE-GGA
Structure: relaxed

a b c (Å): 5.613 5.613 5.613
angles (deg): 136.99 136.99 62.46
Fractional positions:
1 La 0.250 0.750 0.500
2 Mn 0.750 0.250 0.500
3 Ta 0.000 0.000 0.000
4 Ta 0.500 0.500 0.000

## Properties
- relative energy among the computed polymorphs (meV/atom) = 377
- crystal system = tetragonal
- formation energy (meV/atom) = 635

=====

Compound: NbVCd
Source: Alexandria via LeMat-Bulk
Functional: PBE-GGA
Structure: relaxed

a b c (Å): 2.825 4.678 8.025
angles (deg): 90.00 92.71 90.00
Fractional positions:
1 Nb 0.535 0.500 0.339
2 Nb 0.874 0.000 0.513
3 V 0.170 0.000 0.210
4 V 0.892 0.500 0.052
5 Cd 0.492 0.000 0.888
6 Cd 0.307 0.500 0.697

## Properties
- relative energy among the computed polymorphs (meV/atom) = 45
- crystal system = monoclinic
- formation energy (meV/atom) = 192

=====

Compound: Tm2Be4NiPt3
Source: Alexandria via LeMat-Bulk
Functional: PBE-GGA
Structure: relaxed

a b c (Å): 3.892 3.892 9.616
angles (deg): 90.00 90.00 90.00
Fractional positions:
1 Tm 0.500 0.000 0.255
2 Tm 0.000 0.500 0.745
3 Be 0.500 0.500 0.000
4 Be 0.000 0.000 0.000
5 Be 0.500 0.000 0.623
6 Be 0.000 0.500 0.377
7 Ni 0.500 0.500 0.500
8 Pt 0.000 0.000 0.500
9 Pt 0.500 0.000 0.866
10 Pt 0.000 0.500 0.134

## Properties
- crystal system = tetragonal
- formation energy (meV/atom) = -814

=====

Compound: K2AsCl4F2
Source: Alexandria via LeMat-Bulk
Functional: PBE-GGA
Structure: relaxed

a b c (Å): 6.642 6.657 6.657
angles (deg): 62.60 62.47 62.47
Fractional positions:
1 K 0.214 0.741 0.741
2 K 0.786 0.259 0.259
3 As 0.500 0.000 0.000
4 Cl 0.290 0.714 0.209
5 Cl 0.710 0.791 0.286
6 Cl 0.710 0.286 0.791
7 Cl 0.290 0.209 0.714
8 F 0.246 0.195 0.195
9 F 0.754 0.805 0.805

## Properties
- uncorrected formation energy (eV per atom) = -1.60
- crystal system = monoclinic

=====

What is the formula in the fifth record?
Tm2Be4NiPt3